This record from Alexandria via LeMat-Bulk describes a relaxed structure of PuAs6. The functional is PBE.

- calculated total energy (eV per cell) = -39.60
- formation enthalpy at 0 K (eV per atom) = 0.375

```
PuAs6
1.0
-3.6724 3.6724 3.6724
3.6724 -3.6724 3.6724
3.6724 3.6724 -3.6724
Pu As
1 6
direct
0.0000 0.0000 0.0000
0.2500 0.5000 0.7500
0.2500 0.7500 0.5000
0.5000 0.2500 0.7500
0.5000 0.7500 0.2500
0.7500 0.2500 0.5000
0.7500 0.5000 0.2500
```